20
Lattice="4.6955 -3.9382 0.0000 4.6955 3.9382 0.0000 -1.4668 0.0000 5.0574" Properties=species:S:1:pos:R:3 comment="Co3SiH, relaxed, DFT PBE-GGA" dos_ef_per_ev_atom=0.987 final_energy_ev_per_atom=-6.19 space_group="No. 15" pbc="T T T"
Co 1.9272 2.5964 4.6881
Co 2.6584 2.5869 2.1451
Co 5.2636 2.5964 2.8979
Co 5.9992 2.5869 0.3836
Co 2.5686 0.0190 2.1216
Co 1.8352 -0.0190 4.6502
Co 6.0890 0.0190 0.4071
Co 5.3556 -0.0190 2.9358
Co 1.9250 -2.5869 4.6738
Co 2.6606 -2.5964 2.1594
Co 5.2658 -2.5869 2.9123
Co 5.9970 -2.5964 0.3693
Si 4.3288 3.9220 1.2643
Si 3.5954 1.2251 3.7930
Si 4.3288 -1.2251 1.2643
Si 3.5954 -3.9220 3.7930
H 2.9921 1.2884 0.8733
H 5.6656 1.2884 1.6554
H 2.2586 -1.2884 3.4020
H 4.9322 -1.2884 4.1841